[1]
# PBE-GGA SrCePbAu, optimized geometry
# density: 8.76 g/cm³
# DOS(E_F): 35.18 states/eV/cell
# magnetic moment: 1.10 μB per formula unit
# energy of formation: -12.2 kcal/mol of atoms
data_SrCePbAu
_space_group_name_H-M_alt 'F -4 3 m'
_space_group_IT_number 216
_space_group_name_Hall 'F -4 2 3'
_cell_length_a 7.824
_cell_length_b 7.824
_cell_length_c 7.824
_cell_angle_alpha 90.00
_cell_angle_beta 90.00
_cell_angle_gamma 90.00
loop_
_atom_site_label
_atom_site_fract_x
_atom_site_fract_y
_atom_site_fract_z
_atom_site_occupancy
Sr1 0.000 0.000 0.000 1
Ce1 0.000 0.000 0.500 1
Pb1 0.250 0.250 0.250 1
Au1 0.250 0.250 0.750 1


[2]
# PBE-GGA BaZn2Si, optimized geometry
# density: 5.09 g/cm³
# E_form (uncorrected): -148 meV/atom
# DOS(E_F): 4.56 states/eV/cell
# magnetic moment: 0.00 μB per formula unit
data_BaZn2Si
_space_group_name_H-M_alt 'C 1 2/m 1'
_space_group_IT_number 12
_cell_length_a 7.485
_cell_length_b 4.319
_cell_length_c 6.477
_cell_angle_alpha 90.00
_cell_angle_beta 112.52
_cell_angle_gamma 90.00
loop_
_space_group_symop_operation_xyz
'x,y,z'
'-x,-y,-z'
'-x,y,-z'
'x,-y,z'
'x+1/2,y+1/2,z'
'-x+1/2,-y+1/2,-z'
'-x+1/2,y+1/2,-z'
'x+1/2,-y+1/2,z'
loop_
_atom_site_label
_atom_site_fract_x
_atom_site_fract_y
_atom_site_fract_z
_atom_site_occupancy
Ba1 0.000 0.000 0.000 1
Zn1 0.207 0.000 0.620 1
Si1 0.000 0.500 0.500 1


[3]
# PBE-GGA SnH2F3, optimized geometry
# density: 3.60 g/cm³
# DOS(E_F): 2.70 states/eV/cell
# magnetic moment: 0.00 μB per formula unit
# E_tot: -4.27 eV/atom
data_SnH2F3
_space_group_name_H-M_alt 'R -3 m'
_space_group_IT_number 166
_space_group_name_Hall '-R 3 2"'
_cell_length_a 6.1138
_cell_length_b 6.1138
_cell_length_c 7.5873
_cell_angle_alpha 90.00
_cell_angle_beta 90.00
_cell_angle_gamma 120.00
loop_
_atom_site_label
_atom_site_fract_x
_atom_site_fract_y
_atom_site_fract_z
_atom_site_occupancy
Sn1 0.0000 0.0000 0.0000 1
H1 0.0000 0.0000 0.4508 1
F1 0.0000 0.5000 0.5000 1


[4]
# PBE-GGA CaCrPd3, optimized geometry
# polymorph energy (0 for the lowest one): 5.82 eV per formula unit
# density: 6.09 g/cm³
# DOS(E_F): 11.47 states/eV/cell
# magnetic moment: 0.76 μB per formula unit
# energy of formation: 32.1 kcal/mol of atoms
data_CaCrPd3
_space_group_name_H-M_alt 'P m -3 m'
_space_group_IT_number 221
_space_group_name_Hall '-P 4 2 3'
_cell_length_a 4.821
_cell_length_b 4.821
_cell_length_c 4.821
_cell_angle_alpha 90.00
_cell_angle_beta 90.00
_cell_angle_gamma 90.00
loop_
_atom_site_label
_atom_site_fract_x
_atom_site_fract_y
_atom_site_fract_z
_atom_site_occupancy
Ca1 0.000 0.000 0.000 1
Cr1 0.500 0.500 0.500 1
Pd1 0.000 0.000 0.500 1


[5]
# PBE-GGA Y2MgTe3, optimized geometry
# density: 5.40 g/cm³
# E_form (uncorrected): -1120 meV/atom
# DOS(E_F): 17.14 states/eV/cell
# magnetic moment: 0.00 μB per formula unit
data_Y2MgTe3
_space_group_name_H-M_alt 'R -3 c'
_space_group_IT_number 167
_space_group_name_Hall '-R 3 2"c'
_cell_length_a 7.7662
_cell_length_b 7.7662
_cell_length_c 20.6766
_cell_angle_alpha 90.00
_cell_angle_beta 90.00
_cell_angle_gamma 120.00
loop_
_atom_site_label
_atom_site_fract_x
_atom_site_fract_y
_atom_site_fract_z
_atom_site_occupancy
Y1 0.0000 0.0000 0.1648 1
Mg1 0.0000 0.0000 0.0000 1
Te1 0.0000 0.3328 0.2500 1


[6]
# PBE-GGA In3Ge5Au12, optimized geometry
# density: 10.89 g/cm³
# DOS(E_F): 86.52 states/eV/cell
# magnetic moment: 0.00 μB per formula unit
# energy of formation: 1.6 kcal/mol of atoms
data_In3Ge5Au12
_space_group_name_H-M_alt 'I a -3 d'
_space_group_IT_number 230
_space_group_name_Hall '-I 4bd 2c 3'
_cell_length_a 15.533
_cell_length_b 15.533
_cell_length_c 15.533
_cell_angle_alpha 90.00
_cell_angle_beta 90.00
_cell_angle_gamma 90.00
loop_
_atom_site_label
_atom_site_fract_x
_atom_site_fract_y
_atom_site_fract_z
_atom_site_occupancy
In1 0.000 0.250 0.125 1
Ge1 0.000 0.000 0.000 1
Ge2 0.000 0.250 0.375 1
Au1 0.016 0.071 0.651 1


[7]
# PBE-GGA Dy8GaNi2, optimized geometry
# polymorph energy (0 for the lowest one): 0.00 eV per formula unit
# density: 8.78 g/cm³
# DOS(E_F): 19.59 states/eV/cell
# magnetic moment: 0.00 μB per formula unit
# energy of formation: -6.0 kcal/mol of atoms
data_Dy8GaNi2
_space_group_name_H-M_alt 'C 1 2/m 1'
_space_group_IT_number 12
_cell_length_a 17.532
_cell_length_b 5.031
_cell_length_c 6.727
_cell_angle_alpha 90.00
_cell_angle_beta 108.51
_cell_angle_gamma 90.00
loop_
_space_group_symop_operation_xyz
'x,y,z'
'-x,-y,-z'
'-x,y,-z'
'x,-y,z'
'x+1/2,y+1/2,z'
'-x+1/2,-y+1/2,-z'
'-x+1/2,y+1/2,-z'
'x+1/2,-y+1/2,z'
loop_
_atom_site_label
_atom_site_fract_x
_atom_site_fract_y
_atom_site_fract_z
_atom_site_occupancy
Dy1 0.036 0.000 0.284 1
Dy2 0.095 0.500 0.973 1
Dy3 0.178 0.500 0.494 1
Dy4 0.198 0.000 0.835 1
Ga1 0.000 0.500 0.500 1
Ni1 0.176 0.000 0.217 1


[8]
# PBE-GGA Nd5SmDy3, optimized geometry
# polymorph energy (0 for the lowest one): 0.00 eV per formula unit
# density: 7.18 g/cm³
# DOS(E_F): 50.78 states/eV/cell
# magnetic moment: 0.00 μB per formula unit
# energy of formation: 6.4 kcal/mol of atoms
data_Nd5SmDy3
_space_group_name_H-M_alt 'C 1 2/c 1'
_space_group_IT_number 15
_cell_length_a 20.290
_cell_length_b 6.267
_cell_length_c 11.699
_cell_angle_alpha 90.00
_cell_angle_beta 122.26
_cell_angle_gamma 90.00
loop_
_space_group_symop_operation_xyz
'x,y,z'
'-x,-y,-z'
'-x,y,-z+1/2'
'x,-y,z+1/2'
'x+1/2,y+1/2,z'
'-x+1/2,-y+1/2,-z'
'-x+1/2,y+1/2,-z+1/2'
'x+1/2,-y+1/2,z+1/2'
loop_
_atom_site_label
_atom_site_fract_x
_atom_site_fract_y
_atom_site_fract_z
_atom_site_occupancy
Nd1 0.000 0.097 0.250 1
Nd2 0.139 0.176 0.654 1
Nd3 0.180 0.314 0.334 1
Sm1 0.000 0.387 0.750 1
Dy1 0.000 0.500 0.000 1
Dy2 0.177 0.280 0.030 1


[9]
# PBE-GGA BaSi6Pd12, optimized geometry
# density: 8.23 g/cm³
# E_form (uncorrected): -681 meV/atom
# DOS(E_F): 27.92 states/eV/cell
# magnetic moment: 0.00 μB per formula unit
data_BaSi6Pd12
_space_group_name_H-M_alt 'R -3 m'
_space_group_IT_number 166
_space_group_name_Hall '-R 3 2"'
_cell_length_a 11.3451
_cell_length_b 11.3451
_cell_length_c 8.5957
_cell_angle_alpha 90.00
_cell_angle_beta 90.00
_cell_angle_gamma 120.00
loop_
_atom_site_label
_atom_site_fract_x
_atom_site_fract_y
_atom_site_fract_z
_atom_site_occupancy
Ba1 0.0000 0.0000 0.0000 1
Si1 0.0452 0.5226 0.2805 1
Pd1 0.0000 0.3722 0.5000 1
Pd2 0.0908 0.1816 0.3595 1


[10]
# PBE-GGA Tb4Sb2TeSe, optimized geometry
# density: 7.87 g/cm³
# E_form (uncorrected): -1357 meV/atom
# DOS(E_F): 3.66 states/eV/cell
# magnetic moment: 0.00 μB per formula unit
data_Tb4Sb2TeSe
_space_group_name_H-M_alt 'P 1 2/m 1'
_space_group_IT_number 10
_cell_length_a 7.458
_cell_length_b 4.337
_cell_length_c 7.524
_cell_angle_alpha 90.00
_cell_angle_beta 109.64
_cell_angle_gamma 90.00
loop_
_space_group_symop_operation_xyz
'x,y,z'
'-x,-y,-z'
'-x,y,-z'
'x,-y,z'
loop_
_atom_site_label
_atom_site_fract_x
_atom_site_fract_y
_atom_site_fract_z
_atom_site_occupancy
Tb1 0.246 0.000 0.240 1
Tb2 0.252 0.500 0.760 1
Sb1 0.500 0.000 0.000 1
Sb2 0.500 0.500 0.500 1
Te1 0.000 0.000 0.500 1
Se1 0.000 0.500 0.000 1


[11]
# PBE-GGA Cs3CN, optimized geometry
# density: 3.36 g/cm³
# E_form (uncorrected): 1366 meV/atom
# DOS(E_F): 2.64 states/eV/cell
# magnetic moment: 4.00 μB per formula unit
data_Cs3CN
_space_group_name_H-M_alt 'P m -3 m'
_space_group_IT_number 221
_space_group_name_Hall '-P 4 2 3'
_cell_length_a 5.940
_cell_length_b 5.940
_cell_length_c 5.940
_cell_angle_alpha 90.00
_cell_angle_beta 90.00
_cell_angle_gamma 90.00
loop_
_atom_site_label
_atom_site_fract_x
_atom_site_fract_y
_atom_site_fract_z
_atom_site_occupancy
Cs1 0.000 0.000 0.500 1
C1 0.500 0.500 0.500 1
N1 0.000 0.000 0.000 1


[12]
# PBE-GGA Zr2CuAu, optimized geometry
# density: 9.17 g/cm³
# DOS(E_F): 8.64 states/eV/cell
# magnetic moment: 0.00 μB per formula unit
# energy of formation: -1.1 kcal/mol of atoms
data_Zr2CuAu
_space_group_name_H-M_alt 'R 3 m'
_space_group_IT_number 160
_space_group_name_Hall 'R 3 -2"'
_cell_length_a 3.2533
_cell_length_b 3.2533
_cell_length_c 26.2525
_cell_angle_alpha 90.00
_cell_angle_beta 90.00
_cell_angle_gamma 120.00
loop_
_atom_site_label
_atom_site_fract_x
_atom_site_fract_y
_atom_site_fract_z
_atom_site_occupancy
Zr1 0.0000 0.0000 0.0000 1
Zr2 0.0000 0.0000 0.2388 1
Cu1 0.0000 0.0000 0.4933 1
Au1 0.0000 0.0000 0.7525 1